A relaxed structure of Tb3In2Te6, computed with PBE.

## Properties
* E: -4.4993 eV per atom
* M_tot: 0.00 μB per atom
* symmetry: C2/m (12)
* E_form (uncorrected): -1.0249 eV per atom

Structure (POSCAR):
```
Tb3In2Te6
1.0
-5.0718 -4.7741 -3.0859
2.0498 -4.5274 -5.7686
0.4207 -7.0819 4.0437
Tb In Te
3 2 6
Direct
0.3333 0.3335 0.0000 Tb
0.0000 0.0000 0.0000 Tb
0.6667 0.6665 0.0000 Tb
0.8329 0.3342 0.5000 In
0.1671 0.6658 0.5000 In
0.2542 0.0000 0.2289 Te
0.5905 0.3368 0.2300 Te
0.7458 0.0000 0.7711 Te
0.0727 0.3368 0.7700 Te
0.4095 0.6632 0.7700 Te
0.9273 0.6632 0.2300 Te
```

=====

A relaxed structure of Tb2InTe4, computed with PBE.

## Properties
* E: -4.5633 eV per atom
* M_tot: 0.00 μB per atom
* symmetry: I4_1/amd (141)
* E_form (uncorrected): -1.0539 eV per atom
* energy above the lowest structure with this stoichiometry: 0.000 eV per atom

Structure (POSCAR):
```
Tb2InTe4
1.0
8.9425 0.0000 -1.5402
-5.2522 6.4086 -3.6992
1.5620 0.0000 8.9387
Te Tb In
8 4 2
Direct
0.1327 0.2665 0.8662 Te
0.6162 0.2335 0.8497 Te
0.1338 0.7335 0.8673 Te
0.1338 0.2665 0.4003 Te
0.6162 0.7665 0.3827 Te
0.6173 0.2335 0.3838 Te
0.5997 0.7335 0.8662 Te
0.1503 0.7665 0.3838 Te
0.3750 0.7500 0.6250 Tb
0.8750 0.2500 0.6250 Tb
0.3750 0.7500 0.1250 Tb
0.3750 0.2500 0.6250 Tb
0.0000 0.0000 0.0000 In
0.7500 0.5000 0.2500 In
```

=====

A relaxed structure of Tb4InTe, computed with PBE.

## Properties
* E: -4.5010 eV per atom
* M_tot: 0.00 μB per atom
* symmetry: P-1 (2)
* E_form (uncorrected): -0.4342 eV per atom

Structure (POSCAR):
```
Tb4InTe
1.0
6.7567 0.0082 0.0020
0.0076 6.9830 0.3809
-3.3798 -2.4793 7.6121
Tb In Te
8 2 2
Direct
0.5501 0.8777 0.8320 Tb
0.9705 0.9190 0.6727 Tb
0.0295 0.0810 0.3273 Tb
0.2973 0.5816 0.3286 Tb
0.4499 0.1223 0.1680 Tb
0.2833 0.3769 0.8311 Tb
0.7027 0.4184 0.6714 Tb
0.7167 0.6231 0.1689 Tb
0.9474 0.2510 0.0000 In
0.0526 0.7490 0.0000 In
0.0000 0.5000 0.5000 Te
0.5000 0.0000 0.5000 Te
```

=====

A relaxed structure of Tb2In2Te7, computed with PBE.

## Properties
* E: -3.9681 eV per atom
* M_tot: 0.00 μB per atom
* symmetry: C2/m (12)
* E_form (uncorrected): -0.6291 eV per atom

Structure (POSCAR):
```
Tb2In2Te7
1.0
7.7064 -0.1862 -0.2428
-1.5690 7.9387 -0.6198
-1.5690 -2.6572 7.5064
Te In Tb
7 2 2
Direct
0.7366 0.4801 0.1038 Te
0.2710 0.3444 0.3444 Te
0.2634 0.8962 0.5199 Te
0.0000 0.0000 0.0000 Te
0.2634 0.5199 0.8962 Te
0.7290 0.6556 0.6556 Te
0.7366 0.1038 0.4801 Te
0.1318 0.7415 0.7415 In
0.8682 0.2585 0.2585 In
0.5000 0.6930 0.3070 Tb
0.5000 0.3070 0.6930 Tb
```

=====

A relaxed structure of TbInTe4, computed with PBE.

## Properties
* E: -3.9032 eV per atom
* M_tot: 0.00 μB per atom
* symmetry: P2_1/m (11)
* E_form (uncorrected): -0.5806 eV per atom

Structure (POSCAR):
```
TbInTe4
1.0
6.2424 -0.0835 0.0000
-3.0465 7.3543 0.0000
0.0000 0.0000 10.0462
Tb Te In
2 8 2
Direct
0.0957 0.6862 0.7500 Tb
0.9043 0.3138 0.2500 Tb
0.0824 0.3644 0.9452 Te
0.7314 0.8952 0.2500 Te
0.2686 0.1048 0.7500 Te
0.6221 0.7703 0.7500 Te
0.9176 0.6356 0.0548 Te
0.0824 0.3644 0.5548 Te
0.3779 0.2297 0.2500 Te
0.9176 0.6356 0.4452 Te
0.7304 0.1457 0.7500 In
0.2696 0.8543 0.2500 In
```

=====

A relaxed structure of Tb3InTe, computed with PBE.

## Properties
* E: -4.6556 eV per atom
* M_tot: 0.00 μB per atom
* symmetry: Pnma (62)
* E_form (uncorrected): -0.7014 eV per atom
* energy above the lowest structure with this stoichiometry: 0.000 eV per atom

Structure (POSCAR):
```
Tb3InTe
1.0
-2.5451 2.9641 2.2844
3.7558 -2.0571 6.8538
11.1761 11.6268 -2.6347
Tb In Te
12 4 4
Direct
0.2500 0.3682 0.5573 Tb
0.2500 0.4854 0.1115 Tb
0.7500 0.3121 0.2621 Tb
0.2500 0.1879 0.7621 Tb
0.7500 0.8121 0.2379 Tb
0.7500 0.5146 0.8885 Tb
0.7500 0.1318 0.0573 Tb
0.7500 0.0146 0.6115 Tb
0.2500 0.6879 0.7379 Tb
0.2500 0.9854 0.3885 Tb
0.7500 0.6318 0.4427 Tb
0.2500 0.8682 0.9427 Tb
0.7500 0.9165 0.8076 In
0.2500 0.5835 0.3076 In
0.7500 0.4165 0.6924 In
0.2500 0.0835 0.1924 In
0.7500 0.7201 0.0513 Te
0.2500 0.7799 0.5513 Te
0.7500 0.2201 0.4487 Te
0.2500 0.2799 0.9487 Te
```

=====

A relaxed structure of Tb5InTe4, computed with PBE.

## Properties
* E: -5.0147 eV per atom
* M_tot: 0.00 μB per atom
* symmetry: I4/m (87)
* E_form (uncorrected): -1.1690 eV per atom

Structure (POSCAR):
```
Tb5InTe4
1.0
6.1923 0.0000 0.0000
3.0961 6.9478 0.0000
3.0961 0.0000 6.9478
Te Tb In
4 5 1
Direct
0.8029 0.7948 0.6014 Te
0.1990 0.2052 0.3986 Te
0.4043 0.3986 0.7948 Te
0.5977 0.6014 0.2052 Te
0.5013 0.0000 0.0000 Tb
0.0990 0.6097 0.1942 Tb
0.7087 0.1942 0.3903 Tb
0.9030 0.3903 0.8058 Tb
0.2932 0.8058 0.6097 Tb
0.0012 0.0000 0.0000 In
```

=====

A relaxed structure of Tb3In5Te12, computed with PBE.

## Properties
* E: -3.8879 eV per atom
* M_tot: 0.00 μB per atom
* symmetry: Ia-3d (230)
* E_form (uncorrected): -0.6237 eV per atom

Structure (POSCAR):
```
Tb3In5Te12
1.0
15.4117 0.0000 0.0000
-5.1372 14.5303 0.0000
-5.1372 -7.2651 12.5836
Tb Te In
12 48 20
Direct
0.7500 0.3750 0.1250 Tb
0.6250 0.3750 0.7500 Tb
0.1250 0.2500 0.8750 Tb
0.7500 0.8750 0.6250 Tb
0.2500 0.1250 0.3750 Tb
0.3750 0.7500 0.6250 Tb
0.6250 0.2500 0.3750 Tb
0.8750 0.1250 0.2500 Tb
0.1250 0.8750 0.7500 Tb
0.8750 0.7500 0.1250 Tb
0.2500 0.6250 0.8750 Tb
0.3750 0.6250 0.2500 Tb
0.0860 0.9133 0.1323 Te
0.6727 0.4537 0.5860 Te
0.2190 0.5463 0.6323 Te
0.2810 0.8677 0.9537 Te
0.4537 0.7810 0.8677 Te
0.4140 0.3677 0.5867 Te
0.9133 0.8273 0.7810 Te
0.0860 0.1727 0.4537 Te
0.9140 0.8273 0.5463 Te
0.7190 0.1323 0.0463 Te
0.5860 0.6323 0.4133 Te
0.3273 0.7810 0.4133 Te
0.3677 0.4140 0.0867 Te
0.0867 0.1727 0.2190 Te
0.1323 0.4133 0.0860 Te
0.9133 0.0860 0.6323 Te
0.4133 0.2810 0.3273 Te
0.8677 0.5867 0.9140 Te
0.5867 0.8677 0.4140 Te
0.9537 0.3677 0.2810 Te
0.7810 0.3273 0.9133 Te
0.2810 0.4133 0.8273 Te
0.8273 0.9133 0.2810 Te
0.7190 0.5867 0.1727 Te
0.8273 0.9140 0.0463 Te
0.9537 0.5860 0.1727 Te
0.4140 0.0463 0.3273 Te
0.1727 0.0867 0.7190 Te
0.6323 0.0463 0.2190 Te
0.3273 0.5463 0.4140 Te
0.8677 0.2810 0.4537 Te
0.4133 0.1323 0.5860 Te
0.0463 0.6323 0.7190 Te
0.5463 0.2190 0.1323 Te
0.7810 0.4537 0.3677 Te
0.9140 0.0867 0.8677 Te
0.4537 0.6727 0.0860 Te
0.0463 0.4140 0.8273 Te
0.3677 0.9537 0.7810 Te
0.5463 0.3273 0.9140 Te
0.6323 0.5860 0.9133 Te
0.1727 0.0860 0.9537 Te
0.2190 0.6727 0.0867 Te
0.5867 0.7190 0.6727 Te
0.0867 0.9140 0.3677 Te
0.1323 0.7190 0.5463 Te
0.5860 0.9537 0.6727 Te
0.6727 0.2190 0.5867 Te
0.5000 0.5000 0.5000 In
0.0000 0.5000 0.0000 In
0.8750 0.6250 0.7500 In
0.2500 0.3750 0.6250 In
0.8750 0.2500 0.6250 In
0.6250 0.7500 0.8750 In
0.3750 0.1250 0.7500 In
0.5000 0.5000 0.0000 In
0.7500 0.1250 0.8750 In
0.1250 0.3750 0.2500 In
0.3750 0.2500 0.1250 In
0.2500 0.8750 0.1250 In
0.6250 0.8750 0.2500 In
0.5000 0.0000 0.5000 In
0.1250 0.7500 0.3750 In
0.5000 0.0000 0.0000 In
0.0000 0.5000 0.5000 In
0.0000 0.0000 0.5000 In
0.7500 0.6250 0.3750 In
0.0000 0.0000 0.0000 In
```

=====

A relaxed structure of Tb2ThIn3Te6, computed with PBE.

## Properties
* E: -4.5413 eV per atom
* M_tot: 0.00 μB per atom
* symmetry: C2/m (12)
* E_form (uncorrected): -0.8958 eV per atom

Structure (POSCAR):
```
Tb2ThIn3Te6
1.0
-0.8676 7.1773 2.3443
-5.0905 -5.2852 1.9785
6.3789 -2.3185 5.3486
In Te Th Tb
3 6 1 2
Direct
0.5000 0.5000 0.5000 In
0.8339 0.1661 0.5000 In
0.1661 0.8339 0.5000 In
0.7386 0.7386 0.2240 Te
0.4109 0.0750 0.2246 Te
0.5891 0.9250 0.7754 Te
0.0750 0.4109 0.2246 Te
0.2614 0.2614 0.7760 Te
0.9250 0.5891 0.7754 Te
0.0000 0.0000 0.0000 Th
0.6668 0.3332 0.0000 Tb
0.3332 0.6668 0.0000 Tb
```

=====

A relaxed structure of Tb2Tl3InTe6, computed with PBE.

## Properties
* E: -3.9422 eV per atom
* M_tot: 0.00 μB per atom
* symmetry: C2/m (12)
* E_form (uncorrected): -0.7798 eV per atom

Structure (POSCAR):
```
Tb2Tl3InTe6
1.0
-1.3988 -4.0530 -6.4290
-0.5941 -3.4007 6.9136
-7.1610 4.6116 0.2064
Te Tl Tb In
6 3 2 1
Direct
0.7440 0.7440 0.2162 Te
0.2560 0.2560 0.7838 Te
0.0696 0.3967 0.2105 Te
0.9304 0.6033 0.7895 Te
0.6033 0.9304 0.7895 Te
0.3967 0.0696 0.2105 Te
0.1719 0.8281 0.5000 Tl
0.5000 0.5000 0.5000 Tl
0.8281 0.1719 0.5000 Tl
0.3346 0.6654 0.0000 Tb
0.6654 0.3346 0.0000 Tb
0.0000 0.0000 0.0000 In
```

=====

A relaxed structure of Tb3TmIn3Te8, computed with PBE.

## Properties
* E: -4.4540 eV per atom
* M_tot: 0.00 μB per atom
* symmetry: R-3m (166)
* E_form (uncorrected): -1.0066 eV per atom

Structure (POSCAR):
```
Tb3TmIn3Te8
1.0
-6.4967 -4.0424 4.2879
1.5442 -1.8983 -8.4210
6.1370 -3.0857 6.3892
Te In Tb Tm
8 3 3 1
Direct
0.7442 0.9841 0.7237 Te
0.7601 0.0159 0.2763 Te
0.2399 0.4798 0.7237 Te
0.2399 0.9841 0.7237 Te
0.2574 0.5148 0.2723 Te
0.2558 0.0159 0.2763 Te
0.7426 0.4852 0.7277 Te
0.7601 0.5202 0.2763 Te
0.0000 0.0000 0.0000 In
0.0000 0.5000 0.0000 In
0.5000 0.5000 0.0000 In
0.0000 0.5000 0.5000 Tb
0.5000 0.5000 0.5000 Tb
0.5000 0.0000 0.5000 Tb
0.0000 0.0000 0.5000 Tm
```

=====

A relaxed structure of Tb2UIn3Te6, computed with PBE.

## Properties
* E: -4.7555 eV per atom
* M_tot: 0.25 μB per atom
* symmetry: C2/m (12)
* E_form (uncorrected): -0.7876 eV per atom

Structure (POSCAR):
```
Tb2UIn3Te6
1.0
7.6467 -0.0003 0.0001
-3.8217 6.6232 0.0001
-1.2755 -2.2086 8.1726
Tb In Te U
2 3 6 1
Direct
0.3331 0.6669 0.0000 Tb
0.6669 0.3331 0.0000 Tb
0.1657 0.8343 0.5000 In
0.8343 0.1657 0.5000 In
0.5000 0.5000 0.5000 In
0.9261 0.5908 0.7787 Te
0.4092 0.0739 0.2213 Te
0.5908 0.9261 0.7787 Te
0.2619 0.2619 0.7793 Te
0.7381 0.7381 0.2207 Te
0.0739 0.4092 0.2213 Te
0.0000 0.0000 0.0000 U
```

=====

A relaxed structure of Tb3UIn3Te8, computed with PBE.

## Properties
* E: -4.8032 eV per atom
* M_tot: 0.13 μB per atom
* symmetry: C2/m (12)
* E_form (uncorrected): -0.9013 eV per atom

Structure (POSCAR):
```
Tb3UIn3Te8
1.0
-6.4339 -1.5985 -5.7630
1.6851 -5.7623 6.4116
-4.2878 8.2282 2.5048
Tb Te In U
3 8 3 1
Direct
0.5000 0.5000 0.5000 Tb
0.0000 0.5000 0.5000 Tb
0.5000 0.0000 0.5000 Tb
0.7619 0.5239 0.2814 Te
0.2381 0.4761 0.7186 Te
0.7406 0.4811 0.7203 Te
0.2594 0.5189 0.2797 Te
0.7618 0.0196 0.2823 Te
0.7421 0.9804 0.7177 Te
0.2382 0.9804 0.7177 Te
0.2579 0.0196 0.2823 Te
0.0000 0.5000 0.0000 In
0.5000 0.5000 0.0000 In
0.0000 0.0000 0.0000 In
0.0000 0.0000 0.5000 U
```

=====

A relaxed structure of TbY3In3Te8, computed with PBE.

## Properties
* E: -4.8442 eV per atom
* M_tot: 0.00 μB per atom
* symmetry: R-3m (166)
* E_form (uncorrected): -1.0194 eV per atom

Structure (POSCAR):
```
TbY3In3Te8
1.0
-5.1188 -6.0816 -3.7230
6.3875 3.8086 -4.6558
2.4680 -6.1342 6.6311
Te Y In Tb
8 3 3 1
Direct
0.2431 0.9831 0.7261 Te
0.7425 0.4847 0.7271 Te
0.7569 0.0169 0.2739 Te
0.2600 0.0170 0.2740 Te
0.7400 0.9830 0.7260 Te
0.7570 0.5140 0.2741 Te
0.2430 0.4860 0.7259 Te
0.2575 0.5153 0.2729 Te
0.0000 0.5000 0.5000 Y
0.5000 0.5000 0.5000 Y
0.5000 0.0000 0.5000 Y
0.0000 0.0000 0.0000 In
0.0000 0.5000 0.0000 In
0.5000 0.5000 0.0000 In
0.0000 0.0000 0.5000 Tb
```

=====

A relaxed structure of Tb3YIn3Te8, computed with PBE.

## Properties
* E: -4.5961 eV per atom
* M_tot: 0.00 μB per atom
* symmetry: R-3m (166)
* E_form (uncorrected): -1.0159 eV per atom

Structure (POSCAR):
```
Tb3YIn3Te8
1.0
8.7906 0.0001 -0.0011
-4.3952 7.6082 -0.0286
-0.0010 -5.0419 7.9032
Te Tb In Y
8 3 3 1
Direct
0.7577 0.0163 0.2742 Te
0.2573 0.5150 0.2723 Te
0.2423 0.9837 0.7258 Te
0.7427 0.4850 0.7277 Te
0.7414 0.9835 0.7257 Te
0.2422 0.4843 0.7256 Te
0.2586 0.0165 0.2743 Te
0.7578 0.5157 0.2744 Te
0.0000 0.5000 0.5000 Tb
0.5000 0.0000 0.5000 Tb
0.5000 0.5000 0.5000 Tb
0.5000 0.5000 0.0000 In
0.0000 0.0000 0.0000 In
0.0000 0.5000 0.0000 In
0.0000 0.0000 0.5000 Y
```

=====

A relaxed structure of TbTh2In, computed with PBE.

## Properties
* E: -5.5385 eV per atom
* M_tot: 0.00 μB per atom
* symmetry: Fm-3m (225)
* energy of formation from the pure elements: 14 meV/atom
* energy above the lowest structure with this stoichiometry: 0.205 eV per atom

Structure (POSCAR):
```
TbTh2In
1.0
5.5457 0.0000 0.0000
2.7729 4.8027 0.0000
2.7729 1.6009 4.5281
Th Tb In
2 1 1
Direct
0.7500 0.7500 0.7500 Th
0.2500 0.2500 0.2500 Th
0.5000 0.5000 0.5000 Tb
0.0000 0.0000 0.0000 In
```

=====

A relaxed structure of Tb2ThIn9, computed with PBE.

## Properties
* E: -3.8484 eV per atom
* M_tot: 0.00 μB per atom
* symmetry: P4/mmm (123)
* energy of formation from the pure elements: -405 meV/atom

Structure (POSCAR):
```
Tb2ThIn9
1.0
-0.6314 0.3147 4.6240
-4.4683 -1.2806 -0.5230
3.6990 -13.4876 1.4231
In Th Tb
9 1 2
Direct
0.5000 0.0000 0.5000 In
0.5000 0.5000 0.0000 In
0.0000 0.5000 0.1714 In
0.5000 0.0000 0.1714 In
0.5000 0.5000 0.3352 In
0.0000 0.5000 0.5000 In
0.5000 0.5000 0.6648 In
0.0000 0.5000 0.8286 In
0.5000 0.0000 0.8286 In
0.0000 0.0000 0.0000 Th
0.0000 0.0000 0.6645 Tb
0.0000 0.0000 0.3355 Tb
```